Entry 1:
The following is a PBE calculation of an optimized crystal structure of Rb2YF4, from the Alexandria database.

Summary:
Formation energy (no corrections), kJ/mol of atoms: -299
DOS(E_F), states/eV per cell: 1.02
Calculated volume, A^3/atom: 29.3
SG: I4/mmm

Unit cell a=4.397 b=4.397 c=11.064 alpha=78.54 beta=78.54 gamma=90.00
Fractional coordinates of all 7 atoms:
Y  0.000  0.000  0.000
Rb  0.651  0.651  0.697
Rb  0.349  0.349  0.303
F  0.898  0.898  0.204
F  0.102  0.102  0.796
F  0.000  0.500  0.000
F  0.500  0.000  0.000

=====

Entry 2:
The following is a PBE calculation of an optimized crystal structure of MnNbPdRu2, from the Alexandria database.

Summary:
DOS(E_F), states/eV per cell: 7.21
Calculated volume, A^3/atom: 20.6
SG: P4/mmm
Formation enthalpy at 0 K, eV per formula unit: 8.9

Unit cell a=4.639 b=4.786 c=4.639 alpha=90.00 beta=90.00 gamma=90.00
Each line ends with the local moment (μB).
Fractional coordinates of all 5 atoms:
Ru  0.000  0.000  0.500  -0.10
Ru  0.500  0.000  0.000  -0.14
Nb  0.000  0.000  0.000  0.04
Mn  0.500  0.500  0.500  -0.10
Pd  0.000  0.500  0.000  0.01

=====

Entry 3:
The following is a PBE calculation of an optimized crystal structure of InGa2H2, from the Alexandria database.

Summary:
Energy, eV per atom: -2.657
DOS(E_F), states/eV per cell: 3.33
Calculated volume, A^3/atom: 16.0
SG: P4/mbm

Unit cell a=7.484 b=7.484 c=2.855 alpha=90.00 beta=90.00 gamma=90.00
Fractional coordinates of all 10 atoms:
H  0.099  0.599  0.500
H  0.599  0.901  0.500
H  0.901  0.401  0.500
H  0.401  0.099  0.500
Ga  0.375  0.875  0.000
Ga  0.875  0.625  0.000
Ga  0.625  0.125  0.000
Ga  0.125  0.375  0.000
In  0.000  0.000  0.000
In  0.500  0.500  0.000

=====

Number 3 is which compound? InGa2H2

=====

Which value of calculated volume does entry 3 give? 16.0 A^3/atom

=====

Which value of DOS(E_F) does entry 2 give? 7.21 states/eV per cell

=====

Look up the calculated volume of the first one. 29.3 A^3/atom